# Mn2AlB2 (PBEsol, optimized geometry)
# energy above the most stable polymorph in this dataset: 0 meV per atom
# E_form: -0.511 eV per atom
data_Mn2AlB2
_chemical_formula_sum 'Mn4 Al2 B4'
_cell_length_a 2.869
_cell_length_b 10.983
_cell_length_c 2.792
_cell_angle_alpha 90.00
_cell_angle_beta 90.00
_cell_angle_gamma 90.00
_symmetry_space_group_name_H-M 'C m m m'
_symmetry_Int_Tables_number 65
_symmetry_space_group_name_Hall '-C 2 2'
loop_
_atom_site_label
_atom_site_type_symbol
_atom_site_fract_x
_atom_site_fract_y
_atom_site_fract_z
Mn1 Mn 0.000 0.145 0.000
Al1 Al 0.000 0.500 0.500
B1 B 0.000 0.294 0.500

---

# ZnAg2Os (PBEsol, optimized geometry)
# E_form: 0.422 eV per atom
data_ZnAg2Os
_chemical_formula_sum 'Zn1 Ag2 Os1'
_cell_length_a 2.675
_cell_length_b 2.675
_cell_length_c 8.377
_cell_angle_alpha 90.00
_cell_angle_beta 90.00
_cell_angle_gamma 90.00
_symmetry_space_group_name_H-M 'P 4/m m m'
_symmetry_Int_Tables_number 123
_symmetry_space_group_name_Hall '-P 4 2'
loop_
_atom_site_label
_atom_site_type_symbol
_atom_site_fract_x
_atom_site_fract_y
_atom_site_fract_z
Zn1 Zn 0.000 0.000 0.000
Ag1 Ag 0.500 0.500 0.241
Os1 Os 0.000 0.000 0.500

---

# ZrCl3 (PBEsol, optimized geometry)
# formation energy without anion corrections: -1.70 eV/atom
data_ZrCl3
_chemical_formula_sum 'Zr2 Cl6'
_cell_length_a 6.0717
_cell_length_b 6.0717
_cell_length_c 6.2120
_cell_angle_alpha 90.00
_cell_angle_beta 90.00
_cell_angle_gamma 120.00
_symmetry_space_group_name_H-M 'P -3 1 m'
_symmetry_Int_Tables_number 162
_symmetry_space_group_name_Hall '-P 3 2'
loop_
_atom_site_label
_atom_site_type_symbol
_atom_site_fract_x
_atom_site_fract_y
_atom_site_fract_z
Zr1 Zr 0.3333 0.6667 0.0000
Cl1 Cl 0.0000 0.3304 0.2414

---

# NiTeIrN2 (PBEsol, optimized geometry)
# formation energy without anion corrections: 1.46 eV/atom
data_NiTeIrN2
_chemical_formula_sum 'Ni1 Te1 Ir1 N2'
_cell_length_a 3.651
_cell_length_b 3.651
_cell_length_c 5.475
_cell_angle_alpha 90.00
_cell_angle_beta 90.00
_cell_angle_gamma 90.00
_symmetry_space_group_name_H-M 'P 4/m m m'
_symmetry_Int_Tables_number 123
_symmetry_space_group_name_Hall '-P 4 2'
loop_
_atom_site_label
_atom_site_type_symbol
_atom_site_fract_x
_atom_site_fract_y
_atom_site_fract_z
Ni1 Ni 0.000 0.000 0.000
Te1 Te 0.000 0.000 0.500
Ir1 Ir 0.500 0.500 0.500
N1 N 0.000 0.500 0.000

---

# HfCrSe2 (PBEsol, optimized geometry)
# formation energy without anion corrections: -0.47 eV/atom
# energy above the most stable polymorph in this dataset: 0 meV per atom
data_HfCrSe2
_chemical_formula_sum 'Hf4 Cr4 Se8'
_cell_length_a 6.429
_cell_length_b 6.429
_cell_length_c 6.429
_cell_angle_alpha 90.00
_cell_angle_beta 90.00
_cell_angle_gamma 90.00
_symmetry_space_group_name_H-M 'F m -3 m'
_symmetry_Int_Tables_number 225
_symmetry_space_group_name_Hall '-F 4 2 3'
loop_
_atom_site_label
_atom_site_type_symbol
_atom_site_fract_x
_atom_site_fract_y
_atom_site_fract_z
Hf1 Hf 0.000 0.000 0.000
Cr1 Cr 0.000 0.000 0.500
Se1 Se 0.250 0.250 0.250

---

# Mg3BiBr (PBEsol, optimized geometry)
# formation energy without anion corrections: 0.09 eV/atom
data_Mg3BiBr
_chemical_formula_sum 'Mg3 Bi1 Br1'
_cell_length_a 5.719
_cell_length_b 5.719
_cell_length_c 5.719
_cell_angle_alpha 90.00
_cell_angle_beta 90.00
_cell_angle_gamma 90.00
_symmetry_space_group_name_H-M 'P m -3 m'
_symmetry_Int_Tables_number 221
_symmetry_space_group_name_Hall '-P 4 2 3'
loop_
_atom_site_label
_atom_site_type_symbol
_atom_site_fract_x
_atom_site_fract_y
_atom_site_fract_z
Mg1 Mg 0.000 0.000 0.500
Bi1 Bi 0.000 0.000 0.000
Br1 Br 0.500 0.500 0.500

---

# FeTc5 (PBEsol, optimized geometry)
# energy above the most stable polymorph in this dataset: 4 meV per atom
# E_form: 0.022 eV per atom
data_FeTc5
_chemical_formula_sum 'Fe2 Tc10'
_cell_length_a 4.270
_cell_length_b 2.685
_cell_length_c 13.934
_cell_angle_alpha 90.00
_cell_angle_beta 90.00
_cell_angle_gamma 90.00
_symmetry_space_group_name_H-M 'A m m 2'
_symmetry_Int_Tables_number 38
_symmetry_space_group_name_Hall 'A 2 -2'
loop_
_atom_site_label
_atom_site_type_symbol
_atom_site_fract_x
_atom_site_fract_y
_atom_site_fract_z
Fe1 Fe 0.000 0.000 0.000
Tc1 Tc 0.000 0.000 0.340
Tc2 Tc 0.000 0.000 0.664
Tc3 Tc 0.500 0.000 0.110
Tc4 Tc 0.500 0.000 0.449
Tc5 Tc 0.500 0.000 0.779

---

# TlSbN2F (PBEsol, optimized geometry)
# formation energy without anion corrections: 0.20 eV/atom
# energy above the most stable polymorph in this dataset: 0 meV per atom
data_TlSbN2F
_chemical_formula_sum 'Tl1 Sb1 N2 F1'
_cell_length_a 4.091
_cell_length_b 4.091
_cell_length_c 4.334
_cell_angle_alpha 90.00
_cell_angle_beta 90.00
_cell_angle_gamma 90.00
_symmetry_space_group_name_H-M 'P 4/m m m'
_symmetry_Int_Tables_number 123
_symmetry_space_group_name_Hall '-P 4 2'
loop_
_atom_site_label
_atom_site_type_symbol
_atom_site_fract_x
_atom_site_fract_y
_atom_site_fract_z
Tl1 Tl 0.000 0.000 0.000
Sb1 Sb 0.500 0.500 0.500
N1 N 0.000 0.500 0.500
F1 F 0.500 0.500 0.000

---

Respective magnetization values: 1.3 0.0 1.9 2.2 10.8 0.0 0.0 0.0 Bohr magnetons per cell.